No. 1
This record from Alexandria describes a geometry-optimized LuTiNiPd structure. The functional is PBE. Values from VASP.

Summary:
The total magnetization comes out at 0.000 μB per atom. For the final energy, the calculation gives -25.3 eV/f.u. Its symmetry is F-43m (216). The calculation puts the formation energy at -182 kJ/mol of formula units.

Structure (Quantum ESPRESSO input):
```
&SYSTEM
  ibrav = 0, nat = 4, ntyp = 4
/
ATOMIC_SPECIES
Lu 174.97 Lu.upf
Ti 47.87 Ti.upf
Ni 58.69 Ni.upf
Pd 106.42 Pd.upf
ATOMIC_POSITIONS angstrom
Lu 0.0000 0.0000 0.0000
Ti 3.2421 3.2421 3.2421
Ni 4.8631 4.8631 4.8631
Pd 1.6210 1.6210 1.6210
CELL_PARAMETERS angstrom
0.0000 3.2421 3.2421
3.2421 0.0000 3.2421
3.2421 3.2421 0.0000
```

***

No. 2
This record from Alexandria describes a geometry-optimized LuTlNiPd structure. The functional is PBE. Values from VASP.

Summary:
The total magnetization comes out at 0.000 μB per atom. For the final energy, the calculation gives -19.6 eV/f.u. Its symmetry is F-43m (216). The calculation puts the formation energy at -165 kJ/mol of formula units.

Structure (Quantum ESPRESSO input):
```
&SYSTEM
  ibrav = 0, nat = 4, ntyp = 4
/
ATOMIC_SPECIES
Lu 174.97 Lu.upf
Tl 204.38 Tl.upf
Ni 58.69 Ni.upf
Pd 106.42 Pd.upf
ATOMIC_POSITIONS angstrom
Lu 0.0000 0.0000 0.0000
Tl 3.3212 3.3212 3.3212
Ni 4.9818 4.9818 4.9818
Pd 1.6606 1.6606 1.6606
CELL_PARAMETERS angstrom
0.0000 3.3212 3.3212
3.3212 0.0000 3.3212
3.3212 3.3212 0.0000
```